Entry 1:
This record from the Alexandria database describes crystalline YRh2W at its relaxed geometry. The functional is PBE-GGA.

energy relative to the lowest polymorph listed for this composition = 247 meV/atom
symmetry = No. 12
E_form = -0.1 eV per formula unit

abc: 4.161 4.161 6.507
angles: 84.01 84.01 41.62
Fractional coordinates of all 4 atoms:
W 0.250 0.250 0.250
Y 0.750 0.750 0.750
Rh 0.497 0.497 0.457
Rh 0.003 0.003 0.043

***

Entry 2:
This record from the Alexandria database describes crystalline YRhW at its relaxed geometry. The functional is PBE-GGA.

energy relative to the lowest polymorph listed for this composition = 726 meV/atom
symmetry = No. 216
E_form = 1.2 eV per formula unit

abc: 4.516 4.516 4.516
angles: 60.00 60.00 60.00
Fractional coordinates of all 3 atoms:
Rh 0.750 0.750 0.750
W 0.000 0.000 0.000
Y 0.500 0.500 0.500

***

Entry 3:
This record from the Alexandria database describes crystalline YRh3W at its relaxed geometry. The functional is PBE-GGA.

energy relative to the lowest polymorph listed for this composition = 0 meV/atom
symmetry = No. 221
E_form = 1.6 eV per formula unit

abc: 4.739 4.739 4.739
angles: 90.00 90.00 90.00
Fractional coordinates of all 5 atoms:
Y 0.500 0.500 0.500
Rh 0.000 0.500 0.000
Rh 0.000 0.000 0.500
Rh 0.500 0.000 0.000
W 0.000 0.000 0.000

***

Entry 4:
This record from the Alexandria database describes crystalline YRh2W at its relaxed geometry. The functional is PBE-GGA.

energy relative to the lowest polymorph listed for this composition = 361 meV/atom
symmetry = No. 122
E_form = 0.4 eV per formula unit

abc: 7.330 7.330 5.949
angles: 51.97 51.97 90.00
Fractional coordinates of all 8 atoms:
Y 0.500 0.500 0.000
Y 0.250 0.750 0.500
W 0.750 0.250 0.500
W 0.000 0.000 0.000
Rh 0.076 0.625 0.250
Rh 0.674 0.125 0.250
Rh 0.875 0.924 0.750
Rh 0.375 0.326 0.750